(1)
A geometry-optimized Na3YB structure. Source: Alexandria via LeMat-Bulk, functional PBE-GGA.

## Properties
For the density of states at the Fermi level, the calculation gives 0.757 states/eV/atom. The value obtained for the volume is 27.25 Å³/atom. The calculation puts the polymorph energy (0 for the lowest one) at 0 meV/atom. The total energy comes out at -12.4 eV for the cell shown. The formation energy comes out at 948 meV per atom.

Structure (extended XYZ):
```
5
Lattice="5.146 0.000 0.000 0.000 5.146 0.000 0.000 0.000 5.146" Properties=species:S:1:pos:R:3 pbc="T T T"
Na 0.000 0.000 2.573
Na 0.000 2.573 0.000
Na 2.573 0.000 0.000
Y 2.573 2.573 2.573
B 0.000 0.000 0.000
```

(2)
A geometry-optimized NaY2B2 structure. Source: Alexandria via LeMat-Bulk, functional PBE-GGA.

## Properties
For the density of states at the Fermi level, the calculation gives 0.566 states/eV/atom. The value obtained for the volume is 18.84 Å³/atom. The calculation puts the polymorph energy (0 for the lowest one) at 0 meV/atom. The total energy comes out at -55.2 eV for the cell shown. The formation energy comes out at -1 meV per atom.

Structure (extended XYZ):
```
10
Lattice="7.014 0.000 0.000 0.000 7.014 0.000 0.000 0.000 3.830" Properties=species:S:1:pos:R:3 pbc="T T T"
Na 0.000 0.000 0.000
Na 3.507 3.507 0.000
Y 1.241 2.266 1.915
Y 2.266 5.773 1.915
Y 4.748 1.241 1.915
Y 5.773 4.748 1.915
B 0.573 4.080 0.000
B 2.934 0.573 0.000
B 4.080 6.441 0.000
B 6.441 2.934 0.000
```

(3)
A geometry-optimized NaZn2B structure. Source: Alexandria via LeMat-Bulk, functional PBE-GGA.

## Properties
For the density of states at the Fermi level, the calculation gives 0.042 states/eV/atom. The value obtained for the volume is 21.35 Å³/atom. The total energy comes out at -18.2 eV for the cell shown. The formation energy comes out at 355 meV per atom.

Structure (extended XYZ):
```
8
Lattice="-2.639 2.639 6.129 2.639 -2.639 6.129 2.639 2.639 -6.129" Properties=species:S:1:pos:R:3 pbc="T T T"
Na 2.639 1.320 1.532
Na 0.000 1.320 4.597
Zn 0.000 0.000 0.000
Zn 1.320 1.320 -3.065
Zn 1.320 -1.320 3.065
Zn 0.000 2.639 0.000
B 2.639 -1.320 4.597
B 0.000 3.959 1.532
```

> Which formula does entry 1 have?

Na3YB